Compound: CsBaAgSe2
Source: Alexandria
Functional: PBE
Structure: optimized geometry

a = 5.7853 Å, b = 9.0453 Å, c = 9.5906 Å
α = 118.14°, β = 90.00°, γ = 90.00°
Last column: nearest neighbours and their distance in Å.
Fractional positions:
Se: 0.7286 0.6134 0.2268  1 Ag 2.48
Ag: 0.0000 0.5000 0.0000  2 Se 2.48
Se: 0.2714 0.3866 0.7732  1 Ag 2.48
Se: 0.7286 0.8866 0.7732  1 Ag 2.48
Cs: 0.7786 0.2500 0.5000  4 Se 3.67-3.73
Ba: 0.5000 0.2500 0.0000  4 Se 3.25
Ba: 0.5000 0.7500 0.0000  4 Se 3.25
Ag: 0.0000 0.0000 0.0000  2 Se 2.48
Se: 0.2714 0.1134 0.2268  1 Ag 2.48
Cs: 0.2214 0.7500 0.5000  4 Se 3.67-3.73

formation energy from raw total energies: -1.130 eV per atom
SG: No. 67
D(E_F): 0.00 states/eV per atom
V: 442.6 Å³/cell
calculated total energy: -3.649 eV/atom

Compound: CsBa2SrAg
Source: Alexandria
Functional: PBE
Structure: optimized geometry

a = 6.7715 Å, b = 6.7715 Å, c = 6.5118 Å
α = 90.00°, β = 90.00°, γ = 90.00°
Last column: nearest neighbours and their distance in Å.
Fractional positions:
Ba: 0.0000 0.5000 0.0000  2 Ag 3.39
Cs: 0.5000 0.5000 0.5000  8 Ba 4.70, 4 Sr 4.79
Ba: 0.5000 0.0000 0.0000  2 Ag 3.39
Ag: 0.0000 0.0000 0.0000  2 Sr 3.26, 4 Ba 3.39
Sr: 0.0000 0.0000 0.5000  2 Ag 3.26

formation energy: -0.0292 eV per atom
SG: No. 123
D(E_F): 0.93 states/eV per atom
V: 298.6 Å³/cell
calculated total energy: -1.876 eV/atom

Compound: CsBaAg2Te
Source: Alexandria
Functional: PBE
Structure: optimized geometry

a = 5.7022 Å, b = 5.7022 Å, c = 6.7207 Å
α = 90.00°, β = 90.00°, γ = 90.00°
Last column: nearest neighbours and their distance in Å.
Fractional positions:
Ag: 0.5000 0.0000 0.0000  2 Te 2.85
Ba: 0.5000 0.5000 0.5000  4 Cs 4.03, 8 Ag 4.41
Ag: 0.0000 0.5000 0.0000  2 Te 2.85
Cs: 0.0000 0.0000 0.5000  2 Te 3.36
Te: 0.0000 0.0000 0.0000  4 Ag 2.85

formation energy from raw total energies: 0.133 eV per atom
SG: No. 123
D(E_F): 0.84 states/eV per atom
V: 218.5 Å³/cell
calculated total energy: -2.191 eV/atom

Compound: CsBaZn2Ag
Source: Alexandria
Functional: PBE
Structure: optimized geometry

a = 6.3949 Å, b = 6.3376 Å, c = 6.3949 Å
α = 90.00°, β = 90.00°, γ = 90.00°
Last column: nearest neighbours and their distance in Å.
Fractional positions:
Cs: 0.5000 0.5000 0.5000  8 Zn 4.50, 4 Ag 4.52
Ba: 0.0000 0.0000 0.0000  2 Ag 3.17, 4 Zn 3.20
Zn: 0.0000 0.0000 0.5000  2 Ba 3.20
Zn: 0.5000 0.0000 0.0000  2 Ba 3.20
Ag: 0.0000 0.5000 0.0000  2 Ba 3.17

formation energy: 0.3711 eV per atom
SG: No. 123
D(E_F): 1.10 states/eV per atom
V: 259.2 Å³/cell
calculated total energy: -1.264 eV/atom

Compound: CsBaZrAg2
Source: Alexandria
Functional: PBE
Structure: optimized geometry

a = 6.2616 Å, b = 5.8715 Å, c = 6.2616 Å
α = 90.00°, β = 90.00°, γ = 90.00°
Last column: nearest neighbours and their distance in Å.
Fractional positions:
Cs: 0.5000 0.5000 0.5000  8 Ag 4.29, 4 Zr 4.43
Ba: 0.0000 0.0000 0.0000  2 Zr 2.94, 4 Ag 3.13
Ag: 0.0000 0.0000 0.5000  2 Ba 3.13
Ag: 0.5000 0.0000 0.0000  2 Ba 3.13
Zr: 0.0000 0.5000 0.0000  2 Ba 2.94

formation energy: 1.1019 eV per atom
SG: No. 123
D(E_F): 1.39 states/eV per atom
V: 230.2 Å³/cell
calculated total energy: -2.304 eV/atom

Compound: Ba8Cu2Ag
Source: Alexandria
Functional: PBE
Structure: optimized geometry

a = 6.8687 Å, b = 11.5848 Å, c = 9.2648 Å
α = 128.64°, β = 87.25°, γ = 89.99°
Last column: nearest neighbours and their distance in Å.
Fractional positions:
Ba: 0.7682 0.3396 0.2314  1 Cu 3.20, 1 Ag 3.43
Ag: 0.0000 0.0000 0.0000  6 Ba 3.21-3.43
Ba: 0.2318 0.6604 0.7686  1 Cu 3.20, 1 Ag 3.43
Ba: 0.2823 0.1680 0.3369  1 Ag 3.21, 1 Cu 3.21
Ba: 0.7682 0.8917 0.2307  1 Cu 3.20, 1 Ag 3.42
Cu: 0.2367 0.3901 0.7808  6 Ba 3.20-3.46
Ba: 0.2318 0.1083 0.7693  1 Cu 3.20, 1 Ag 3.42
Ba: 0.7177 0.8320 0.6631  1 Ag 3.21, 1 Cu 3.21
Ba: 0.7407 0.3867 0.7736  3 Cu 3.24-3.46
Cu: 0.7633 0.6099 0.2192  6 Ba 3.20-3.46
Ba: 0.2593 0.6133 0.2264  3 Cu 3.24-3.46

formation energy: 0.0090 eV per atom
SG: No. 12
D(E_F): 0.85 states/eV per atom
V: 574.7 Å³/cell
calculated total energy: -2.393 eV/atom

Compound: Ba2CuAg
Source: Alexandria
Functional: PBE
Structure: optimized geometry

a = 6.9441 Å, b = 6.9441 Å, c = 6.9441 Å
α = 140.13°, β = 140.13°, γ = 57.65°
Last column: nearest neighbours and their distance in Å.
Fractional positions:
Ba: 0.2500 0.7500 0.5000  4 Ag 3.35
Ba: 0.0000 0.0000 0.0000  4 Cu 3.35
Cu: 0.5000 0.5000 0.0000  4 Ba 3.35
Ag: 0.7500 0.2500 0.5000  4 Ba 3.35

formation energy: 0.0916 eV per atom
SG: No. 119
D(E_F): 1.03 states/eV per atom
V: 136.4 Å³/cell
calculated total energy: -2.607 eV/atom

Compound: BaCu3Ag
Source: Alexandria
Functional: PBE
Structure: optimized geometry

a = 5.6404 Å, b = 5.6404 Å, c = 5.6404 Å
α = 90.00°, β = 90.00°, γ = 90.00°
Last column: nearest neighbours and their distance in Å.
Fractional positions:
Cu: 0.0000 0.5000 0.0000  2 Ba 2.82
Cu: 0.0000 0.0000 0.5000  2 Ba 2.82
Ba: 0.0000 0.0000 0.0000  6 Cu 2.82
Ag: 0.5000 0.5000 0.5000  12 Cu 3.99
Cu: 0.5000 0.0000 0.0000  2 Ba 2.82

formation energy: 1.4436 eV per atom
excess energy over the best structure of this formula in the dataset: 1.169 eV per atom
SG: No. 221
D(E_F): 0.19 states/eV per atom
V: 179.4 Å³/cell
calculated total energy: -1.969 eV/atom

Compound: BaCu3Ag
Source: Alexandria
Functional: PBE
Structure: optimized geometry

a = 4.9393 Å, b = 4.9393 Å, c = 4.9393 Å
α = 90.00°, β = 90.00°, γ = 90.00°
Last column: nearest neighbours and their distance in Å.
Fractional positions:
Cu: 0.0000 0.5000 0.0000  2 Ag 2.47
Ag: 0.0000 0.0000 0.0000  6 Cu 2.47
Ba: 0.5000 0.5000 0.5000  12 Cu 3.49
Cu: 0.5000 0.0000 0.0000  2 Ag 2.47
Cu: 0.0000 0.0000 0.5000  2 Ag 2.47

formation energy: 0.2746 eV per atom
excess energy over the best structure of this formula in the dataset: 0.000 eV per atom
SG: No. 221
D(E_F): 0.33 states/eV per atom
V: 120.5 Å³/cell
calculated total energy: -3.138 eV/atom

Compound: Ba3CuAg2
Source: Alexandria
Functional: PBE
Structure: optimized geometry

a = 4.7467 Å, b = 13.5738 Å, c = 13.5784 Å
α = 90.00°, β = 90.00°, γ = 90.00°
Last column: nearest neighbours and their distance in Å.
Fractional positions:
Ba: 0.7500 0.8706 0.4416  1 Cu 3.44, 4 Ag 3.51-3.61
Ba: 0.2500 0.8046 0.7155  2 Cu 3.35, 4 Ag 3.44-3.75
Ba: 0.2500 0.6954 0.2155  2 Cu 3.35, 4 Ag 3.44-3.75
Ag: 0.2500 0.8183 0.9681  2 Cu 2.79
Ag: 0.2500 0.4905 0.7978  1 Cu 2.83
Ag: 0.7500 0.1817 0.0319  2 Cu 2.79
Ag: 0.7500 0.9905 0.7022  1 Cu 2.83
Ag: 0.2500 0.6817 0.4681  2 Cu 2.79
Cu: 0.7500 0.6262 0.3751  3 Ag 2.79-2.83
Ba: 0.7500 0.3046 0.7845  2 Cu 3.35, 4 Ag 3.44-3.75
Ba: 0.7500 0.6294 0.9416  1 Cu 3.44, 4 Ag 3.51-3.61
Ba: 0.2500 0.3706 0.0584  1 Cu 3.44, 4 Ag 3.51-3.61
Ba: 0.2500 0.1294 0.5584  1 Cu 3.44, 4 Ag 3.51-3.61
Ag: 0.7500 0.3183 0.5319  2 Cu 2.79
Ag: 0.7500 0.5095 0.2022  1 Cu 2.83
Ba: 0.2500 0.0575 0.8837  3 Cu 3.41-3.44, 5 Ag 3.44-3.54
Cu: 0.7500 0.8738 0.8751  3 Ag 2.79-2.83
Cu: 0.2500 0.1262 0.1249  3 Ag 2.79-2.83
Ba: 0.7500 0.5575 0.6163  3 Cu 3.41-3.44, 5 Ag 3.44-3.54
Ba: 0.7500 0.9425 0.1163  3 Cu 3.41-3.44, 5 Ag 3.44-3.54
Ag: 0.2500 0.0095 0.2978  1 Cu 2.83
Ba: 0.2500 0.4425 0.3837  3 Cu 3.41-3.44, 5 Ag 3.44-3.54
Ba: 0.7500 0.1954 0.2845  2 Cu 3.35, 4 Ag 3.44-3.75
Cu: 0.2500 0.3738 0.6249  3 Ag 2.79-2.83

formation energy: -0.1761 eV per atom
SG: No. 62
D(E_F): 0.77 states/eV per atom
V: 874.9 Å³/cell
calculated total energy: -2.771 eV/atom

Compound: BaCuAg2
Source: Alexandria
Functional: PBE
Structure: optimized geometry

a = 4.3484 Å, b = 3.9556 Å, c = 6.3213 Å
α = 75.70°, β = 90.00°, γ = 90.00°
Last column: nearest neighbours and their distance in Å.
Fractional positions:
Ba: 0.0000 0.4985 0.5595  3 Ag 3.24-3.55, 4 Cu 3.29-3.30
Ag: 0.0000 0.8199 0.0358  2 Cu 2.61
Cu: 0.5000 0.8999 0.8016  4 Ag 2.61-2.71
Ag: 0.5000 0.2818 0.1031  2 Cu 2.70-2.71, 4 Ag 2.94-3.00

formation energy: 0.0499 eV per atom
excess energy over the best structure of this formula in the dataset: 0.148 eV per atom
SG: No. 6
D(E_F): 0.48 states/eV per atom
V: 105.4 Å³/cell
calculated total energy: -2.880 eV/atom

Compound: Ba6CuAg3
Source: Alexandria
Functional: PBE
Structure: optimized geometry

a = 4.6780 Å, b = 12.8544 Å, c = 15.5431 Å
α = 112.43°, β = 90.00°, γ = 90.00°
Last column: nearest neighbours and their distance in Å.
Fractional positions:
Ag: 0.7500 0.6962 0.5356  6 Ba 3.38-3.64
Ba: 0.7500 0.0944 0.4106  2 Ag 3.42, 2 Cu 3.46
Ba: 0.2500 0.1615 0.1994  4 Ag 3.43-3.82, 1 Cu 3.75
Ba: 0.2500 0.5197 0.3910  3 Ag 3.38-3.43
Ag: 0.2500 0.3038 0.4644  6 Ba 3.38-3.64
Ba: 0.2500 0.5620 0.9021  3 Ag 3.60-3.61
Ba: 0.2500 0.2398 0.6734  2 Cu 3.38, 3 Ag 3.42-3.64
Ag: 0.7500 0.0716 0.0246  2 Ag 2.89
Ag: 0.2500 0.9284 0.9754  2 Ag 2.89
Ag: 0.7500 0.3325 0.8466  1 Cu 2.95
Ba: 0.7500 0.8459 0.1019  2 Cu 3.34, 5 Ag 3.47-3.57
Cu: 0.7500 0.0889 0.7323  1 Ag 2.95
Ba: 0.7500 0.4380 0.0979  3 Ag 3.60-3.61
Ba: 0.7500 0.4803 0.6090  3 Ag 3.38-3.43
Ba: 0.7500 0.7602 0.3266  2 Cu 3.38, 3 Ag 3.42-3.64
Ag: 0.2500 0.6675 0.1534  1 Cu 2.95
Ba: 0.7500 0.8385 0.8006  4 Ag 3.43-3.82, 1 Cu 3.75
Cu: 0.2500 0.9111 0.2677  1 Ag 2.95
Ba: 0.2500 0.1541 0.8981  2 Cu 3.34, 5 Ag 3.47-3.57
Ba: 0.2500 0.9056 0.5894  2 Ag 3.42, 2 Cu 3.46

formation energy: -0.1195 eV per atom
SG: No. 11
D(E_F): 1.00 states/eV per atom
V: 864.0 Å³/cell
calculated total energy: -2.538 eV/atom